# 1
Density functional theory data (SCAN) for Be2CdNi2 at its PBEsol-relaxed geometry.

SG ... I4/mmm (139)
Mass density ... 7.011 g/cm3
DOS at the Fermi energy ... 0.437 states/eV per atom
Calculated formation energy ... 27 kJ/mol of formula units

a = 3.336 Å, b = 3.336 Å, c = 10.546 Å
α = 90.00°, β = 90.00°, γ = 90.00°
Atoms (fractional coordinates):
Be1 0.000 0.500 0.250
Be2 0.000 0.500 0.750
Be3 0.500 0.000 0.250
Be4 0.500 0.000 0.750
Cd1 0.000 0.000 0.000
Cd2 0.500 0.500 0.500
Ni1 0.000 0.000 0.385
Ni2 0.000 0.000 0.615
Ni3 0.500 0.500 0.115
Ni4 0.500 0.500 0.885

***

# 2
Density functional theory data (SCAN) for MgNbP2 at its PBEsol-relaxed geometry.

SG ... I-42d (122)
Mass density ... 3.199 g/cm3
DOS at the Fermi energy ... 0.479 states/eV per atom
Calculated formation energy ... -133 kJ/mol of formula units

a = 5.793 Å, b = 5.793 Å, c = 11.088 Å
α = 90.00°, β = 90.00°, γ = 90.00°
Atoms (fractional coordinates):
Mg1 0.000 0.000 0.000
Mg2 0.000 0.500 0.250
Mg3 0.500 0.000 0.750
Mg4 0.500 0.500 0.500
Nb1 0.000 0.000 0.500
Nb2 0.000 0.500 0.750
Nb3 0.500 0.000 0.250
Nb4 0.500 0.500 0.000
P1 0.227 0.250 0.625
P2 0.250 0.727 0.875
P3 0.250 0.773 0.375
P4 0.273 0.250 0.125
P5 0.727 0.750 0.125
P6 0.750 0.227 0.375
P7 0.750 0.273 0.875
P8 0.773 0.750 0.625

***

# 3
Density functional theory data (SCAN) for Ti2NbGaW at its PBEsol-relaxed geometry.

SG ... P4/mmm (123)
Mass density ... 7.744 g/cm3
DOS at the Fermi energy ... 1.043 states/eV per atom
Calculated formation energy ... 479 kJ/mol of formula units

a = 4.519 Å, b = 4.519 Å, c = 4.644 Å
α = 90.00°, β = 90.00°, γ = 90.00°
Atoms (fractional coordinates):
Ti1 0.000 0.500 0.000
Ti2 0.500 0.000 0.000
Nb1 0.000 0.000 0.500
Ga1 0.500 0.500 0.000
W1 0.500 0.500 0.500

***

# 4
Density functional theory data (SCAN) for CdTeO3 at its PBEsol-relaxed geometry.

SG ... P2_1/c (14)
Mass density ... 6.495 g/cm3
DOS at the Fermi energy ... 0.000 states/eV per atom
Formation energy (no corrections) ... -6.2 eV per formula unit

a = 7.829 Å, b = 11.157 Å, c = 7.353 Å
α = 90.00°, β = 113.48°, γ = 90.00°
Atoms (fractional coordinates):
Cd1 0.001 0.231 0.468
Cd2 0.001 0.269 0.968
Cd3 0.269 0.010 0.810
Cd4 0.269 0.490 0.310
Cd5 0.731 0.510 0.690
Cd6 0.731 0.990 0.190
Cd7 0.999 0.731 0.032
Cd8 0.999 0.769 0.532
Te1 0.170 0.501 0.754
Te2 0.170 0.999 0.254
Te3 0.498 0.749 0.371
Te4 0.498 0.751 0.871
Te5 0.502 0.249 0.129
Te6 0.502 0.251 0.629
Te7 0.830 0.001 0.746
Te8 0.830 0.499 0.246
O1 0.005 0.629 0.765
O2 0.005 0.871 0.265
O3 0.051 0.590 0.391
O4 0.051 0.910 0.891
O5 0.204 0.081 0.494
O6 0.204 0.419 0.994
O7 0.295 0.174 0.154
O8 0.295 0.326 0.654
O9 0.304 0.665 0.167
O10 0.304 0.835 0.667
O11 0.491 0.633 0.567
O12 0.491 0.867 0.067
O13 0.509 0.133 0.933
O14 0.509 0.367 0.433
O15 0.696 0.165 0.333
O16 0.696 0.335 0.833
O17 0.705 0.674 0.346
O18 0.705 0.826 0.846
O19 0.796 0.581 0.006
O20 0.796 0.919 0.506
O21 0.949 0.090 0.109
O22 0.949 0.410 0.609
O23 0.995 0.129 0.735
O24 0.995 0.371 0.235

***

# 5
Density functional theory data (SCAN) for Zr4ZnAu at its PBEsol-relaxed geometry.

SG ... F-43m (216)
Mass density ... 8.679 g/cm3
DOS at the Fermi energy ... 0.731 states/eV per atom
Calculated formation energy ... 154 kJ/mol of formula units

a = 5.537 Å, b = 5.537 Å, c = 5.537 Å
α = 60.00°, β = 60.00°, γ = 60.00°
Atoms (fractional coordinates):
Zr1 0.125 0.125 0.125
Zr2 0.125 0.125 0.624
Zr3 0.125 0.624 0.125
Zr4 0.624 0.125 0.125
Zn1 0.500 0.500 0.500
Au1 0.750 0.750 0.750

***

# 6
Density functional theory data (SCAN) for BaTlRh2 at its PBEsol-relaxed geometry.

SG ... Immm (71)
Mass density ... 11.078 g/cm3
DOS at the Fermi energy ... 0.644 states/eV per atom
Calculated formation energy ... 68 kJ/mol of formula units

a = 4.871 Å, b = 4.885 Å, c = 6.898 Å
α = 90.00°, β = 90.00°, γ = 90.00°
Atoms (fractional coordinates):
Ba1 0.000 0.000 0.000
Ba2 0.500 0.500 0.500
Tl1 0.000 0.000 0.500
Tl2 0.500 0.500 0.000
Rh1 0.000 0.500 0.249
Rh2 0.000 0.500 0.751
Rh3 0.500 0.000 0.251
Rh4 0.500 0.000 0.749

***

# 7
Density functional theory data (SCAN) for Nd5CoSi2 at its PBEsol-relaxed geometry.

SG ... Fmmm (69)
Mass density ... 7.044 g/cm3
DOS at the Fermi energy ... 0.938 states/eV per atom
Formation energy (no corrections) ... -3.1 eV per formula unit

a = 8.540 Å, b = 8.525 Å, c = 7.773 Å
α = 63.00°, β = 62.81°, γ = 54.19°
Atoms (fractional coordinates):
Nd1 0.000 0.000 0.500
Nd2 0.020 0.691 0.309
Nd3 0.173 0.545 0.827
Nd4 0.309 0.980 0.020
Nd5 0.455 0.827 0.545
Nd6 0.500 0.500 0.000
Nd7 0.545 0.173 0.455
Nd8 0.691 0.020 0.980
Nd9 0.827 0.455 0.173
Nd10 0.980 0.309 0.691
Co1 0.109 0.891 0.891
Co2 0.891 0.109 0.109
Si1 0.250 0.250 0.250
Si2 0.384 0.616 0.384
Si3 0.616 0.384 0.616
Si4 0.750 0.750 0.750

***

# 8
Density functional theory data (SCAN) for Be2OsRu at its PBEsol-relaxed geometry.

SG ... Pmmm (47)
Mass density ... 11.290 g/cm3
DOS at the Fermi energy ... 0.543 states/eV per atom
Calculated formation energy ... -23 kJ/mol of formula units

a = 2.822 Å, b = 3.699 Å, c = 4.359 Å
α = 90.00°, β = 90.00°, γ = 90.00°
Atoms (fractional coordinates):
Be1 0.000 0.000 0.000
Be2 0.500 0.000 0.500
Os1 0.000 0.500 0.500
Ru1 0.500 0.500 0.000

***

E_tot values, unit eV/atom, following the record order: -14.24; -15.07; -29.25; -18.52; -33.98; -44.69; -32.29; -28.91.